A geometry-optimized NaNiI2F structure, computed with PBE with a Hubbard U.

a = 6.3495 Å, b = 3.6426 Å, c = 6.3495 Å
α = 90.00°, β = 90.00°, γ = 90.00°
With the nearest neighbours (Å) after each atom.
Sites, in units of the cell vectors:
F (0.0000, 0.0000, 0.0000)  2 Ni 1.82
Ni (0.0000, 0.5000, 0.0000)  2 F 1.82
Na (0.5000, 0.5000, 0.5000)  2 Na 3.64, 8 I 3.66
I (0.5000, 0.0000, 0.0000)  2 F 3.17
I (0.0000, 0.0000, 0.5000)  2 F 3.17

**Calculated total energy**: -2.3723 eV/atom
**D(E_F)**: 4.1 states/eV per cell